Entry from Alexandria: a relaxed Tb2Ga3Au2 crystal (GGA-PBE). Values from VASP.

Calculated values
density of states at the Fermi level: 2.418 states/eV/cell
energy of formation: -0.674 eV per atom
calculated volume: 20.48 Å³ per atom
distance to the lowest polymorph of the same formula: 0.0 meV per atom
space-group type: No. 12

Quantum ESPRESSO input file:
```
&SYSTEM
  ibrav = 0, nat = 7, ntyp = 3
/
ATOMIC_SPECIES
Tb 158.93 Tb.upf
Ga 69.72 Ga.upf
Au 196.97 Au.upf
CELL_PARAMETERS angstrom
-1.5639 -3.3735 2.3290
5.3463 1.4218 1.5168
-4.5012 4.0609 2.8596
ATOMIC_POSITIONS angstrom
Tb -2.1523 3.0780 3.0131
Ga 1.1196 2.1081 3.8053
Au 0.3174 0.9133 1.5361
Ga -0.7820 -1.6867 1.1645
Tb 1.4335 -0.9687 3.6923
Au -1.0362 1.1960 5.1693
Ga -1.8384 0.0012 2.9001
```

---

Entry from Alexandria: a relaxed InTe2IF crystal (GGA-PBE). Values from VASP.

Calculated values
density of states at the Fermi level: 6.640 states/eV/cell
calculated volume: 39.18 Å³ per atom
raw formation energy: 218 meV per atom
distance to the lowest polymorph of the same formula: 438.4 meV per atom
space-group type: No. 123

Quantum ESPRESSO input file:
```
&SYSTEM
  ibrav = 0, nat = 5, ntyp = 4
/
ATOMIC_SPECIES
In 114.82 In.upf
Te 127.60 Te.upf
I 126.90 I.upf
F 19.00 F.upf
CELL_PARAMETERS angstrom
5.7920 0.0000 0.0000
0.0000 5.7920 0.0000
0.0000 0.0000 5.8398
ATOMIC_POSITIONS angstrom
In 0.0000 0.0000 0.0000
Te 2.8960 0.0000 0.0000
I 0.0000 0.0000 2.9199
Te 0.0000 2.8960 0.0000
F 2.8960 2.8960 2.9199
```

---

Entry from Alexandria: a relaxed Pr2CdP2N6 crystal (GGA-PBE). Values from VASP.

Calculated values
calculated volume: 16.55 Å³ per atom
raw formation energy: -411 meV per atom
space-group type: No. 147

Quantum ESPRESSO input file:
```
&SYSTEM
  ibrav = 0, nat = 11, ntyp = 4
/
ATOMIC_SPECIES
Cd 112.41 Cd.upf
Pr 140.91 Pr.upf
N 14.01 N.upf
P 30.97 P.upf
CELL_PARAMETERS angstrom
5.8053 0.0000 0.0000
-2.9026 5.0275 0.0000
0.0000 0.0000 6.2361
ATOMIC_POSITIONS angstrom
Cd 0.0000 0.0000 0.0000
Pr 0.0000 3.3517 1.9877
Pr 2.9026 1.6758 4.2484
N 1.3304 1.4669 1.4374
N 3.5078 3.1419 1.4374
N 3.8697 0.4187 1.4374
N -0.6052 1.8856 4.7987
P 0.0000 3.3517 4.9183
N -0.9671 4.6088 4.7987
N 1.5723 3.5606 4.7987
P 2.9026 1.6758 1.3179
```

---

Entry from Alexandria: a relaxed Te2AsRhN crystal (GGA-PBE). Values from VASP.

Calculated values
density of states at the Fermi level: 3.781 states/eV/cell
calculated volume: 20.83 Å³ per atom
raw formation energy: 968 meV per atom
distance to the lowest polymorph of the same formula: 484.7 meV per atom
space-group type: No. 123

Quantum ESPRESSO input file:
```
&SYSTEM
  ibrav = 0, nat = 5, ntyp = 4
/
ATOMIC_SPECIES
Te 127.60 Te.upf
Rh 102.91 Rh.upf
As 74.92 As.upf
N 14.01 N.upf
CELL_PARAMETERS angstrom
-3.2709 3.3278 -2.8030
-3.1652 0.5863 4.3895
1.9275 2.7554 1.0219
ATOMIC_POSITIONS angstrom
Te -1.5826 0.2931 2.1948
Te -1.6355 1.6639 -1.4015
Rh -2.2543 3.3347 1.3042
As 0.0000 0.0000 0.0000
N 0.9638 1.3777 0.5110
```

---

Entry from Alexandria: a relaxed GdHoAgAu crystal (GGA-PBE). Values from VASP.

Calculated values
density of states at the Fermi level: 3.253 states/eV/cell
energy of formation: -0.581 eV per atom
calculated volume: 23.81 Å³ per atom
space-group type: No. 216

Quantum ESPRESSO input file:
```
&SYSTEM
  ibrav = 0, nat = 4, ntyp = 4
/
ATOMIC_SPECIES
Gd 157.25 Gd.upf
Au 196.97 Au.upf
Ho 164.93 Ho.upf
Ag 107.87 Ag.upf
CELL_PARAMETERS angstrom
-0.9284 3.3299 -3.7847
-1.2965 -1.7079 -4.6558
-4.7821 0.6482 -1.7278
ATOMIC_POSITIONS angstrom
Gd -1.7517 0.5676 -2.5421
Au -3.5035 1.1351 -5.0841
Ho -5.2552 1.7027 -7.6262
Ag 0.0000 0.0000 0.0000
```

---

Entry from Alexandria: a relaxed Nd2PaTaN4 crystal (GGA-PBE). Values from VASP.

Calculated values
density of states at the Fermi level: 2.590 states/eV/cell
calculated volume: 14.59 Å³ per atom
raw formation energy: -1389 meV per atom
space-group type: No. 10

Quantum ESPRESSO input file:
```
&SYSTEM
  ibrav = 0, nat = 8, ntyp = 4
/
ATOMIC_SPECIES
Ta 180.95 Ta.upf
N 14.01 N.upf
Nd 144.24 Nd.upf
Pa 231.04 Pa.upf
CELL_PARAMETERS angstrom
-1.4045 -0.2552 -3.0991
-5.3782 -0.3657 2.4675
1.2229 5.8620 -1.0370
ATOMIC_POSITIONS angstrom
Ta 0.0000 0.0000 0.0000
N -1.6392 0.9559 -1.2141
N -3.9206 4.2853 -0.4545
Nd -2.0777 2.7482 0.7152
Nd -0.0908 2.8034 -2.0680
N -0.3470 4.5745 -0.2195
N -3.8083 0.9219 1.6500
Pa -3.3913 -0.3104 -0.3158
```

---

Entry from Alexandria: a relaxed Tl2TcOsN crystal (GGA-PBE). Values from VASP.

Calculated values
density of states at the Fermi level: 5.730 states/eV/cell
calculated volume: 22.02 Å³ per atom
raw formation energy: 1362 meV per atom
space-group type: No. 123

Quantum ESPRESSO input file:
```
&SYSTEM
  ibrav = 0, nat = 5, ntyp = 4
/
ATOMIC_SPECIES
Os 190.23 Os.upf
N 14.01 N.upf
Tc 98.00 Tc.upf
Tl 204.38 Tl.upf
CELL_PARAMETERS angstrom
-2.0584 0.1219 -5.0559
-3.3365 -0.8441 1.3381
-1.1115 5.3143 0.5807
ATOMIC_POSITIONS angstrom
Os -3.2532 2.2961 -1.5686
N -1.6683 -0.4220 0.6690
Tc 0.0000 0.0000 0.0000
Tl -1.0292 0.0610 -2.5280
Tl -0.5558 2.6572 0.2903
```

---

Entry from Alexandria: a relaxed Ac2YNi9 crystal (GGA-PBE). Values from VASP.

Calculated values
density of states at the Fermi level: 12.822 states/eV/cell
energy of formation: -0.241 eV per atom
calculated volume: 15.83 Å³ per atom
space-group type: No. 166

Quantum ESPRESSO input file:
```
&SYSTEM
  ibrav = 0, nat = 12, ntyp = 3
/
ATOMIC_SPECIES
Y 88.91 Y.upf
Ni 58.69 Ni.upf
Ac 227.00 Ac.upf
CELL_PARAMETERS angstrom
5.0615 0.0000 0.0000
2.5307 4.3834 0.0000
2.5307 1.4611 8.5615
ATOMIC_POSITIONS angstrom
Y 0.0000 0.0000 0.0000
Ni 5.0615 1.4678 6.5925
Ac 2.5307 1.4611 5.0887
Ni 6.3211 2.1950 1.9690
Ac 7.5922 4.3834 3.4728
Ni 5.0615 2.9223 4.2807
Ni 6.3211 3.6495 6.5925
Ni 2.5307 1.4611 0.0167
Ni 3.8019 3.6495 6.5925
Ni 3.8019 2.1950 1.9690
Ni 5.0615 4.3767 1.9690
Ni 7.5922 4.3834 8.5448
```

---

Entry from Alexandria: a relaxed Cs2AgICl6 crystal (GGA-PBE). Values from VASP.

Calculated values
density of states at the Fermi level: 0.000 states/eV/cell
calculated volume: 35.58 Å³ per atom
raw formation energy: -995 meV per atom
space-group type: No. 139

Quantum ESPRESSO input file:
```
&SYSTEM
  ibrav = 0, nat = 10, ntyp = 4
/
ATOMIC_SPECIES
Cl 35.45 Cl.upf
I 126.90 I.upf
Cs 132.91 Cs.upf
Ag 107.87 Ag.upf
CELL_PARAMETERS angstrom
7.9690 0.0000 0.0000
0.0000 7.9690 0.0000
3.9845 3.9845 5.6025
ATOMIC_POSITIONS angstrom
Cl 2.2901 5.6789 0.0000
Cl 5.6789 2.2901 0.0000
I 0.0000 0.0000 0.0000
Cs 7.9690 3.9845 2.8012
Ag 3.9845 3.9845 0.0000
Cs 3.9845 7.9690 2.8012
Cl 5.6789 5.6789 0.0000
Cl 3.9845 3.9845 3.0667
Cl 2.2901 2.2901 0.0000
Cl 7.9690 7.9690 2.5358
```

---

Entry from Alexandria: a relaxed CaY2IrPt crystal (GGA-PBE). Values from VASP.

Calculated values
density of states at the Fermi level: 5.492 states/eV/cell
energy of formation: -0.205 eV per atom
calculated volume: 28.69 Å³ per atom
space-group type: No. 123

Quantum ESPRESSO input file:
```
&SYSTEM
  ibrav = 0, nat = 5, ntyp = 4
/
ATOMIC_SPECIES
Ir 192.22 Ir.upf
Y 88.91 Y.upf
Ca 40.08 Ca.upf
Pt 195.08 Pt.upf
CELL_PARAMETERS angstrom
5.2291 0.0000 0.0000
0.0000 5.2462 0.0000
0.0000 0.0000 5.2291
ATOMIC_POSITIONS angstrom
Ir 0.0000 0.0000 0.0000
Y 0.0000 0.0000 2.6146
Y 2.6146 0.0000 0.0000
Ca 2.6146 2.6231 2.6146
Pt 0.0000 2.6231 0.0000
```

---

Entry from Alexandria: a relaxed Ac4In12Cu crystal (GGA-PBE). Values from VASP.

Calculated values
density of states at the Fermi level: 4.567 states/eV/cell
energy of formation: -0.370 eV per atom
calculated volume: 28.44 Å³ per atom
space-group type: No. 229

Quantum ESPRESSO input file:
```
&SYSTEM
  ibrav = 0, nat = 17, ntyp = 3
/
ATOMIC_SPECIES
In 114.82 In.upf
Ac 227.00 Ac.upf
Cu 63.55 Cu.upf
CELL_PARAMETERS angstrom
8.0738 0.0000 -2.8545
-4.0369 6.9921 -2.8545
0.0000 0.0000 8.5635
ATOMIC_POSITIONS angstrom
In 1.1450 1.9832 -1.6193
Ac -2.0184 3.4960 -1.4273
In 1.0092 5.2441 -1.4273
Cu 0.0000 0.0000 0.0000
In 5.0461 1.7480 1.4273
In 2.2900 0.0000 1.6193
In 4.0369 3.4960 -1.4273
In 3.0277 1.7480 4.2818
In 2.8919 5.0089 -4.0897
In -1.1450 1.9832 1.6193
Ac 0.0000 0.0000 4.2818
In -2.8919 5.0089 4.0897
In -1.0092 5.2441 1.4273
In 5.7838 0.0000 4.0897
Ac 4.0369 0.0000 -1.4273
In 0.0000 3.4960 4.2818
Ac 2.0184 3.4960 1.4273
```

---

Entry from Alexandria: a relaxed ZnSiBr2 crystal (GGA-PBE). Values from VASP.

Calculated values
density of states at the Fermi level: 1.124 states/eV/cell
calculated volume: 29.08 Å³ per atom
raw formation energy: 213 meV per atom
distance to the lowest polymorph of the same formula: 373.1 meV per atom
space-group type: No. 65

Quantum ESPRESSO input file:
```
&SYSTEM
  ibrav = 0, nat = 4, ntyp = 3
/
ATOMIC_SPECIES
Si 28.09 Si.upf
Br 79.90 Br.upf
Zn 65.41 Zn.upf
CELL_PARAMETERS angstrom
-1.5145 0.1053 -3.2711
1.9124 -2.9853 0.6600
-8.0380 -4.3575 3.5811
ATOMIC_POSITIONS angstrom
Si -1.8105 -2.5294 -0.4103
Br -3.5311 -1.9143 1.5732
Zn -5.8295 -4.7081 1.3803
Br -0.4879 -0.2645 0.2174
```